No. 1
TlCd2S2 after structural relaxation, computed with PBE.

The value obtained for the magnetic moment is 0.00 μB per formula unit. As for the crystal system: tetragonal. The value obtained for the offset from the most stable computed form is 0.06 eV per formula unit.

a b c (Å): 4.495 4.495 7.373
angles (deg): 72.25 72.25 90.00
Atoms (fractional coordinates):
1 Cd 0.750 0.250 0.500
2 S 0.638 0.638 0.723
3 S 0.362 0.362 0.277
4 Tl 0.000 0.000 0.000
5 Cd 0.250 0.750 0.500

***

No. 2
Li2LaTlBr6 after structural relaxation, computed with PBE.

The uncorrected energy is -3.669 eV per atom. The value obtained for the magnetic moment is 0.00 μB per formula unit. As for the crystal system: trigonal.

a b c (Å): 7.420 7.421 7.896
angles (deg): 61.98 61.97 60.00
Atoms (fractional coordinates):
1 Br 0.176 0.333 0.746
2 Br 0.745 0.176 0.746
3 Tl 0.798 0.798 0.605
4 La 0.317 0.317 0.048
5 Br 0.333 0.745 0.746
6 Li 0.010 0.010 0.970
7 Br 0.891 0.618 0.235
8 Li 0.517 0.517 0.450
9 Br 0.256 0.891 0.235
10 Br 0.618 0.256 0.235

***

No. 3
Pr6Y2Tm3Mg after structural relaxation, computed with PBE.

The value obtained for the magnetic moment is 0.00 μB per formula unit. As for the crystal system: monoclinic. The calculated formation energy comes out at 22 meV/atom.

a b c (Å): 6.254 6.254 11.817
angles (deg): 95.07 95.07 120.03
Atoms (fractional coordinates):
1 Y 0.333 0.667 0.000
2 Pr 0.917 0.585 0.749
3 Y 0.667 0.333 0.000
4 Pr 0.751 0.751 0.252
5 Tm 0.500 0.500 0.500
6 Tm 0.167 0.833 0.500
7 Pr 0.415 0.083 0.251
8 Mg 0.000 0.000 0.000
9 Tm 0.833 0.167 0.500
10 Pr 0.585 0.917 0.749
11 Pr 0.249 0.249 0.748
12 Pr 0.083 0.415 0.251

***

No. 4
Ac2Zn6CuPt after structural relaxation, computed with PBE.

The value obtained for the magnetic moment is 0.00 μB per formula unit. As for the crystal system: tetragonal. The calculated formation energy comes out at -281 meV/atom.

a b c (Å): 6.795 6.795 6.783
angles (deg): 59.95 59.95 89.99
Atoms (fractional coordinates):
1 Zn 0.244 0.756 0.000
2 Zn 0.756 0.756 0.000
3 Zn 0.244 0.244 0.512
4 Zn 0.756 0.244 0.000
5 Pt 0.500 0.500 0.000
6 Zn 0.756 0.756 0.488
7 Cu 0.000 0.000 0.000
8 Ac 0.750 0.250 0.500
9 Zn 0.244 0.244 0.000
10 Ac 0.250 0.750 0.500